Record 1
First-principles (PBE) data for a relaxed Tb2Zn12Ag5 crystal, as listed in Alexandria. Values from VASP.

Cell and atoms, written as Quantum ESPRESSO input:
```
&SYSTEM
  ibrav = 0, nat = 19, ntyp = 3
/
ATOMIC_SPECIES
Tb 158.93 Tb.upf
Zn 65.41 Zn.upf
Ag 107.87 Ag.upf
ATOMIC_POSITIONS crystal
Tb 0.659 0.659 0.659
Tb 0.341 0.341 0.341
Zn 0.303 0.697 0.000
Zn 0.697 0.000 0.303
Zn 0.000 0.303 0.697
Zn 0.697 0.303 0.000
Zn 0.303 0.000 0.697
Zn 0.000 0.697 0.303
Zn 0.353 0.353 0.831
Zn 0.353 0.831 0.353
Zn 0.831 0.353 0.353
Zn 0.647 0.169 0.647
Zn 0.647 0.647 0.169
Zn 0.169 0.647 0.647
Ag 0.000 0.000 0.500
Ag 0.000 0.500 0.000
Ag 0.500 0.000 0.000
Ag 0.896 0.896 0.896
Ag 0.104 0.104 0.104
CELL_PARAMETERS angstrom
-2.537 -3.062 -5.699
4.982 -4.798 -0.671
-3.353 -5.157 3.233
```

Energy of formation from the pure elements: -0.1763 eV per atom
V: 17.30 A^3/atom
N(E_F): 8.13 states/eV/cell
Crystal system: trigonal
Spin magnetization: 0.00 μB per cell

---

Record 2
First-principles (PBE) data for a relaxed PrDyMg2 crystal, as listed in Alexandria. Values from VASP.

Cell and atoms, written as Quantum ESPRESSO input:
```
&SYSTEM
  ibrav = 0, nat = 4, ntyp = 3
/
ATOMIC_SPECIES
Pr 140.91 Pr.upf
Mg 24.30 Mg.upf
Dy 162.50 Dy.upf
ATOMIC_POSITIONS crystal
Pr 0.000 0.000 0.000
Mg 0.250 0.250 0.250
Mg 0.750 0.750 0.750
Dy 0.500 0.500 0.500
CELL_PARAMETERS angstrom
5.440 0.000 0.000
2.720 4.711 0.000
2.720 1.570 4.442
```

Energy of formation from the pure elements: -0.1030 eV per atom
V: 28.46 A^3/atom
N(E_F): 3.68 states/eV/cell
Crystal system: cubic
Spin magnetization: 0.00 μB per cell

---

Record 3
First-principles (PBE) data for a relaxed PmPa2Pt crystal, as listed in Alexandria. Values from VASP.

Cell and atoms, written as Quantum ESPRESSO input:
```
&SYSTEM
  ibrav = 0, nat = 4, ntyp = 3
/
ATOMIC_SPECIES
Pa 231.04 Pa.upf
Pt 195.08 Pt.upf
Pm 145.00 Pm.upf
ATOMIC_POSITIONS crystal
Pa 0.078 0.078 0.766
Pa 0.922 0.922 0.234
Pt 0.000 0.000 0.000
Pm 0.500 0.500 0.500
CELL_PARAMETERS angstrom
-1.278 2.523 -1.420
-2.272 -0.387 -2.169
-9.206 1.316 7.098
```

Energy of formation from the pure elements: 0.2293 eV per atom
V: 25.06 A^3/atom
N(E_F): 6.97 states/eV/cell
Crystal system: trigonal
Spin magnetization: 0.00 μB per cell

---

Record 4
First-principles (PBE) data for a relaxed LiHoMgRh crystal, as listed in Alexandria. Values from VASP.

Cell and atoms, written as Quantum ESPRESSO input:
```
&SYSTEM
  ibrav = 0, nat = 4, ntyp = 4
/
ATOMIC_SPECIES
Mg 24.30 Mg.upf
Rh 102.91 Rh.upf
Ho 164.93 Ho.upf
Li 6.94 Li.upf
ATOMIC_POSITIONS crystal
Mg 0.000 0.000 0.000
Rh 0.250 0.250 0.250
Ho 0.500 0.500 0.500
Li 0.750 0.750 0.750
CELL_PARAMETERS angstrom
4.741 0.000 0.000
2.371 4.106 0.000
2.371 1.369 3.871
```

Energy of formation from the pure elements: -0.4396 eV per atom
V: 18.84 A^3/atom
N(E_F): 2.25 states/eV/cell
Crystal system: cubic
Spin magnetization: 0.00 μB per cell

---

Record 5
First-principles (PBE) data for a relaxed NaMn3In crystal, as listed in Alexandria. Values from VASP.

Cell and atoms, written as Quantum ESPRESSO input:
```
&SYSTEM
  ibrav = 0, nat = 5, ntyp = 3
/
ATOMIC_SPECIES
Na 22.99 Na.upf
Mn 54.94 Mn.upf
In 114.82 In.upf
ATOMIC_POSITIONS crystal
Na 0.500 0.500 0.500
Mn 0.000 0.500 0.000
Mn 0.000 0.000 0.500
Mn 0.500 0.000 0.000
In 0.000 0.000 0.000
CELL_PARAMETERS angstrom
5.192 0.000 0.000
0.000 5.192 0.000
0.000 0.000 5.192
```

Energy of formation from the pure elements: 1.0720 eV per atom
V: 27.98 A^3/atom
N(E_F): 4.32 states/eV/cell
Crystal system: cubic
Spin magnetization: 12.94 μB per cell

---

Record 6
First-principles (PBE) data for a relaxed Tb7Sm12Sc crystal, as listed in Alexandria. Values from VASP.

Cell and atoms, written as Quantum ESPRESSO input:
```
&SYSTEM
  ibrav = 0, nat = 20, ntyp = 3
/
ATOMIC_SPECIES
Tb 158.93 Tb.upf
Sm 150.36 Sm.upf
Sc 44.96 Sc.upf
ATOMIC_POSITIONS crystal
Tb 0.089 0.665 0.089
Tb 0.335 0.911 0.911
Tb 0.911 0.911 0.335
Tb 0.500 0.500 0.500
Tb 0.089 0.089 0.665
Tb 0.665 0.089 0.089
Tb 0.911 0.335 0.911
Sm 0.761 0.239 0.500
Sm 0.761 0.500 0.239
Sm 0.355 0.090 0.355
Sm 0.910 0.645 0.645
Sm 0.500 0.239 0.761
Sm 0.645 0.645 0.910
Sm 0.355 0.355 0.090
Sm 0.500 0.761 0.239
Sm 0.090 0.355 0.355
Sm 0.645 0.910 0.645
Sm 0.239 0.500 0.761
Sm 0.239 0.761 0.500
Sc 0.000 0.000 0.000
CELL_PARAMETERS angstrom
8.749 0.536 0.805
-1.918 8.553 0.805
-1.918 -2.552 8.203
```

Energy of formation from the pure elements: 0.1068 eV per atom
V: 32.83 A^3/atom
N(E_F): 33.87 states/eV/cell
Crystal system: trigonal
Spin magnetization: 0.00 μB per cell

---

Record 7
First-principles (PBE) data for a relaxed Sr4Hg5Au6 crystal, as listed in Alexandria. Values from VASP.

Cell and atoms, written as Quantum ESPRESSO input:
```
&SYSTEM
  ibrav = 0, nat = 30, ntyp = 3
/
ATOMIC_SPECIES
Sr 87.62 Sr.upf
Hg 200.59 Hg.upf
Au 196.97 Au.upf
ATOMIC_POSITIONS crystal
Sr 0.956 0.912 0.273
Sr 0.044 0.088 0.773
Sr 0.154 0.308 0.297
Sr 0.846 0.692 0.797
Sr 0.816 0.632 0.443
Sr 0.184 0.368 0.943
Sr 0.018 0.037 0.512
Sr 0.982 0.963 0.012
Hg 0.452 0.903 0.680
Hg 0.548 0.097 0.180
Hg 0.161 0.321 0.630
Hg 0.839 0.679 0.130
Hg 0.641 0.282 0.468
Hg 0.359 0.718 0.968
Hg 0.309 0.619 0.611
Hg 0.691 0.381 0.111
Hg 0.336 0.673 0.286
Hg 0.664 0.327 0.786
Au 0.753 0.507 0.265
Au 0.427 0.854 0.419
Au 0.779 0.558 0.976
Au 0.221 0.442 0.476
Au 0.455 0.910 0.857
Au 0.545 0.090 0.357
Au 0.423 0.846 0.135
Au 0.577 0.154 0.635
Au 0.106 0.212 0.104
Au 0.894 0.788 0.604
Au 0.573 0.146 0.919
Au 0.247 0.493 0.765
CELL_PARAMETERS angstrom
4.443 0.000 0.000
-2.221 11.291 0.000
0.000 0.000 16.483
```

Energy of formation from the pure elements: -0.4982 eV per atom
V: 27.56 A^3/atom
N(E_F): 10.27 states/eV/cell
Crystal system: orthorhombic
Spin magnetization: 0.00 μB per cell

---

Record 8
First-principles (PBE) data for a relaxed Ac12Si5Sb3 crystal, as listed in Alexandria. Values from VASP.

Cell and atoms, written as Quantum ESPRESSO input:
```
&SYSTEM
  ibrav = 0, nat = 80, ntyp = 3
/
ATOMIC_SPECIES
Sb 121.76 Sb.upf
Si 28.09 Si.upf
Ac 227.00 Ac.upf
ATOMIC_POSITIONS crystal
Sb 0.750 0.375 0.125
Sb 0.875 0.750 0.125
Sb 0.375 0.750 0.625
Sb 0.250 0.125 0.375
Sb 0.875 0.125 0.250
Sb 0.375 0.625 0.250
Sb 0.625 0.375 0.750
Sb 0.125 0.875 0.750
Sb 0.750 0.875 0.625
Sb 0.625 0.250 0.375
Sb 0.125 0.250 0.875
Sb 0.250 0.625 0.875
Si 0.125 0.375 0.250
Si 0.000 0.500 0.000
Si 0.000 0.000 0.000
Si 0.375 0.250 0.125
Si 0.500 0.000 0.500
Si 0.500 0.500 0.000
Si 0.125 0.750 0.375
Si 0.750 0.125 0.875
Si 0.750 0.625 0.375
Si 0.375 0.125 0.750
Si 0.625 0.875 0.250
Si 0.500 0.500 0.500
Si 0.500 0.000 0.000
Si 0.000 0.000 0.500
Si 0.250 0.375 0.625
Si 0.250 0.875 0.125
Si 0.000 0.500 0.500
Si 0.875 0.250 0.625
Si 0.625 0.750 0.875
Si 0.875 0.625 0.750
Ac 0.714 0.128 0.041
Ac 0.327 0.541 0.413
Ac 0.959 0.372 0.286
Ac 0.541 0.214 0.128
Ac 0.587 0.714 0.673
Ac 0.959 0.587 0.173
Ac 0.327 0.786 0.413
Ac 0.087 0.913 0.128
Ac 0.587 0.959 0.673
Ac 0.714 0.587 0.173
Ac 0.786 0.459 0.372
Ac 0.827 0.913 0.041
Ac 0.128 0.714 0.541
Ac 0.372 0.413 0.087
Ac 0.087 0.913 0.372
Ac 0.413 0.128 0.587
Ac 0.087 0.173 0.214
Ac 0.459 0.673 0.087
Ac 0.827 0.913 0.286
Ac 0.128 0.413 0.087
Ac 0.372 0.959 0.786
Ac 0.587 0.628 0.413
Ac 0.913 0.827 0.541
Ac 0.786 0.327 0.913
Ac 0.413 0.372 0.587
Ac 0.087 0.173 0.459
Ac 0.214 0.673 0.087
Ac 0.173 0.087 0.714
Ac 0.628 0.041 0.214
Ac 0.872 0.587 0.913
Ac 0.541 0.327 0.913
Ac 0.587 0.872 0.413
Ac 0.913 0.827 0.786
Ac 0.913 0.087 0.628
Ac 0.872 0.286 0.459
Ac 0.173 0.087 0.959
Ac 0.628 0.587 0.913
Ac 0.413 0.041 0.327
Ac 0.286 0.413 0.827
Ac 0.214 0.541 0.628
Ac 0.913 0.087 0.872
Ac 0.673 0.214 0.587
Ac 0.459 0.786 0.872
Ac 0.041 0.413 0.827
Ac 0.413 0.286 0.327
Ac 0.041 0.628 0.714
Ac 0.673 0.459 0.587
Ac 0.286 0.872 0.959
CELL_PARAMETERS angstrom
16.246 0.000 0.000
-5.415 15.317 0.000
-5.415 -7.658 13.264
```

V: 41.26 A^3/atom
N(E_F): 55.46 states/eV/cell
Crystal system: cubic
Spin magnetization: 0.00 μB per cell
Raw formation energy: -356 meV per atom

---

Record 9
First-principles (PBE) data for a relaxed ScGeRh2 crystal, as listed in Alexandria. Values from VASP.

Cell and atoms, written as Quantum ESPRESSO input:
```
&SYSTEM
  ibrav = 0, nat = 4, ntyp = 3
/
ATOMIC_SPECIES
Sc 44.96 Sc.upf
Ge 72.64 Ge.upf
Rh 102.91 Rh.upf
ATOMIC_POSITIONS crystal
Sc 0.500 0.500 0.500
Ge 0.500 0.000 0.000
Rh 0.000 0.000 0.500
Rh 0.000 0.500 0.000
CELL_PARAMETERS angstrom
-2.117 0.866 2.616
-1.367 -3.968 0.207
3.038 -0.903 2.758
```

Energy of formation from the pure elements: -0.8476 eV per atom
V: 15.34 A^3/atom
N(E_F): 1.56 states/eV/cell
Crystal system: tetragonal
Spin magnetization: 0.00 μB per cell

---

Record 10
First-principles (PBE) data for a relaxed SmThAlAu crystal, as listed in Alexandria. Values from VASP.

Cell and atoms, written as Quantum ESPRESSO input:
```
&SYSTEM
  ibrav = 0, nat = 4, ntyp = 4
/
ATOMIC_SPECIES
Au 196.97 Au.upf
Sm 150.36 Sm.upf
Th 232.04 Th.upf
Al 26.98 Al.upf
ATOMIC_POSITIONS crystal
Au 0.250 0.250 0.250
Sm 0.500 0.500 0.500
Th 0.000 0.000 0.000
Al 0.750 0.750 0.750
CELL_PARAMETERS angstrom
-0.451 -1.074 5.138
2.464 -4.185 2.042
4.126 0.677 3.205
```

Energy of formation from the pure elements: -0.3966 eV per atom
V: 25.85 A^3/atom
N(E_F): 4.00 states/eV/cell
Crystal system: cubic
Spin magnetization: 0.98 μB per cell

---

Record 11
First-principles (PBE) data for a relaxed Nb3SbIr crystal, as listed in Alexandria. Values from VASP.

Cell and atoms, written as Quantum ESPRESSO input:
```
&SYSTEM
  ibrav = 0, nat = 5, ntyp = 3
/
ATOMIC_SPECIES
Sb 121.76 Sb.upf
Nb 92.91 Nb.upf
Ir 192.22 Ir.upf
ATOMIC_POSITIONS crystal
Sb 0.500 0.500 0.500
Nb 0.000 0.500 0.000
Nb 0.000 0.000 0.500
Nb 0.500 0.000 0.000
Ir 0.000 0.000 0.000
CELL_PARAMETERS angstrom
4.886 0.000 0.000
0.000 4.886 0.000
0.000 0.000 4.886
```

V: 23.33 A^3/atom
N(E_F): 6.56 states/eV/cell
Crystal system: cubic
Spin magnetization: 0.00 μB per cell
Raw formation energy: 738 meV per atom

---

Record 12
First-principles (PBE) data for a relaxed Ag2Hg3F8 crystal, as listed in Alexandria. Values from VASP.

Cell and atoms, written as Quantum ESPRESSO input:
```
&SYSTEM
  ibrav = 0, nat = 13, ntyp = 3
/
ATOMIC_SPECIES
Ag 107.87 Ag.upf
Hg 200.59 Hg.upf
F 19.00 F.upf
ATOMIC_POSITIONS crystal
Ag 0.359 0.285 0.570
Ag 0.641 0.715 0.430
Hg 0.500 0.000 0.000
Hg 0.000 0.259 0.000
Hg 0.000 0.741 0.000
F 0.885 0.596 0.192
F 0.115 0.404 0.808
F 0.931 0.109 0.218
F 0.069 0.891 0.782
F 0.594 0.663 0.760
F 0.594 0.097 0.760
F 0.406 0.903 0.240
F 0.406 0.337 0.240
CELL_PARAMETERS angstrom
6.063 0.000 0.121
0.000 7.171 0.000
-2.311 -3.585 5.452
```

V: 18.39 A^3/atom
N(E_F): 2.37 states/eV/cell
Crystal system: monoclinic
Spin magnetization: 0.00 μB per cell
Raw formation energy: -1260 meV per atom